Below is NaAgSnSe2 after structural relaxation, with properties calculated at the GGA-PBE level.

Cell: 5.254 7.252 7.942 Å, 112.32 90.00 90.00°
Atoms (fractional coordinates):
1 Na 0.229 0.500 0.750
2 Na 0.771 0.500 0.250
3 Ag 0.000 0.000 0.000
4 Ag 0.000 0.000 0.500
5 Sn 0.411 0.000 0.250
6 Sn 0.589 0.000 0.750
7 Se 0.706 0.721 0.994
8 Se 0.706 0.279 0.506
9 Se 0.294 0.721 0.494
10 Se 0.294 0.279 0.006

Calculated values
Theoretical density (g cm⁻³): 4.83
Formation energy without anion corrections (eV/atom): -0.472
Electronic total energy (eV for the cell shown): -35.00
Fermi-level density of states (states/eV/f.u.): 0.0
Space group: No. 13


Below is SrZn3AgPt after structural relaxation, with properties calculated at the GGA-PBE level.

Cell: 7.941 6.116 6.507 Å, 118.03 90.00 90.00°
Atoms (fractional coordinates):
1 Sr 0.750 0.275 0.551
2 Sr 0.250 0.725 0.449
3 Zn 0.250 0.199 0.399
4 Zn 0.000 0.255 0.000
5 Zn 0.500 0.745 0.000
6 Zn 0.500 0.255 0.000
7 Zn 0.000 0.745 0.000
8 Zn 0.750 0.801 0.601
9 Ag 0.250 0.419 0.838
10 Ag 0.750 0.581 0.162
11 Pt 0.250 0.989 0.977
12 Pt 0.750 0.011 0.023

Calculated values
Theoretical density (g cm⁻³): 6.99
Formation energy from the elements (kJ/mol of atoms): -22
Electronic total energy (eV for the cell shown): -31.47
Fermi-level density of states (states/eV/f.u.): 2.6
Space group: No. 63


Below is LaHo3Te4 after structural relaxation, with properties calculated at the GGA-PBE level.

Cell: 4.328 7.663 7.663 Å, 108.61 90.00 90.00°
Atoms (fractional coordinates):
1 La 0.500 0.000 0.000
2 Ho 0.000 0.000 0.500
3 Ho 0.500 0.500 0.500
4 Ho 0.000 0.500 0.000
5 Te 0.000 0.262 0.262
6 Te 0.500 0.744 0.256
7 Te 0.000 0.738 0.738
8 Te 0.500 0.256 0.744

Calculated values
Theoretical density (g cm⁻³): 7.89
Formation energy without anion corrections (eV/atom): -1.327
Electronic total energy (eV for the cell shown): -41.84
Fermi-level density of states (states/eV/f.u.): 5.0
Space group: No. 65


Below is NaLa2ZrAu after structural relaxation, with properties calculated at the GGA-PBE level.

Cell: 5.902 5.367 5.902 Å, 90.00 90.00 90.00°
Each line ends with the local moment (μB).
Atoms (fractional coordinates):
1 Na 0.500 0.500 0.500  0.00
2 Au 0.000 0.000 0.000  0.04
3 Zr 0.000 0.500 0.000  0.64
4 La 0.000 0.000 0.500  0.08
5 La 0.500 0.000 0.000  0.12

Calculated values
Theoretical density (g cm⁻³): 5.23
Formation energy from the elements (kJ/mol of atoms): 23
Electronic total energy (eV for the cell shown): -21.83
Fermi-level density of states (states/eV/f.u.): 8.8
Space group: No. 123


Below is Na2Ac4N after structural relaxation, with properties calculated at the GGA-PBE level.

Cell: 5.546 5.546 9.703 Å, 73.39 73.39 90.00°
Atoms (fractional coordinates):
1 Na 0.645 0.645 0.710
2 Na 0.355 0.355 0.290
3 Ac 0.858 0.858 0.283
4 Ac 0.142 0.142 0.717
5 Ac 0.000 0.500 0.000
6 Ac 0.500 0.000 0.000
7 N 0.000 0.000 0.000

Calculated values
Theoretical density (g cm⁻³): 5.89
Formation energy without anion corrections (eV/atom): -0.073
Electronic total energy (eV for the cell shown): -27.91
Fermi-level density of states (states/eV/f.u.): 8.9
Space group: No. 139


Below is CeYCo after structural relaxation, with properties calculated at the GGA-PBE level.

Cell: 3.632 6.059 6.950 Å, 79.24 74.85 72.56°
Atoms (fractional coordinates):
1 Ce 0.356 0.899 0.389
2 Ce 0.754 0.372 0.120
3 Co 0.297 0.519 0.886
4 Co 0.016 0.787 0.181
5 Y 0.997 0.420 0.586
6 Y 0.603 0.943 0.851

Calculated values
Theoretical density (g cm⁻³): 6.84
Formation energy from the elements (kJ/mol of atoms): -15
Electronic total energy (eV for the cell shown): -39.94
Fermi-level density of states (states/eV/f.u.): 5.4
Offset from the most stable computed form (meV/atom): 20
Space group: No. 8


Below is Ba2BSe5 after structural relaxation, with properties calculated at the GGA-PBE level.

Cell: 6.954 6.952 6.849 Å, 120.50 120.51 90.00°
Atoms (fractional coordinates):
1 Ba 0.264 0.764 0.529
2 Ba 0.764 0.264 0.528
3 B 0.939 0.939 0.878
4 Se 0.811 0.233 0.043
5 Se 0.232 0.233 0.043
6 Se 0.811 0.811 0.043
7 Se 0.232 0.811 0.043
8 Se 0.723 0.723 0.446

Calculated values
Theoretical density (g cm⁻³): 4.90
Formation energy without anion corrections (eV/atom): -0.817
Electronic total energy (eV for the cell shown): -34.48
Fermi-level density of states (states/eV/f.u.): 3.9
Space group: No. 107


Below is MgFe2Co after structural relaxation, with properties calculated at the GGA-PBE level.

Cell: 4.420 4.420 4.420 Å, 128.51 128.51 75.80°
Each line ends with the local moment (μB).
Atoms (fractional coordinates):
1 Co 0.750 0.250 0.500  1.66
2 Fe 0.000 0.000 0.000  2.55
3 Fe 0.500 0.500 0.000  2.55
4 Mg 0.250 0.750 0.500  -0.04

Calculated values
Theoretical density (g cm⁻³): 6.29
Formation energy from the elements (kJ/mol of atoms): 18
Electronic total energy (eV for the cell shown): -24.89
Fermi-level density of states (states/eV/f.u.): 3.2
Space group: No. 139


Below is ZnCo2Ir after structural relaxation, with properties calculated at the GGA-PBE level.

Cell: 2.643 3.646 5.193 Å, 90.00 90.00 90.00°
Each line ends with the local moment (μB).
Atoms (fractional coordinates):
1 Co 0.000 0.000 0.002  1.26
2 Co 0.000 0.000 0.498  1.26
3 Ir 0.500 0.500 0.250  0.35
4 Zn 0.500 0.500 0.750  -0.04

Calculated values
Theoretical density (g cm⁻³): 12.46
Formation energy from the elements (kJ/mol of atoms): 2
Electronic total energy (eV for the cell shown): -24.27
Fermi-level density of states (states/eV/f.u.): 5.8
Space group: No. 47